Record 1
## CaNiIr3 (SCAN)

Data for a crystal of CaNiIr3 relaxed with PBEsol.

a b c (Å): 4.615 4.615 4.615
angles (deg): 90.00 90.00 90.00
Site moments in Bohr magnetons follow the coordinates.
Element x y z (fractional)
1 Ca 0.000 0.000 0.000  -0.06
2 Ir 0.000 0.000 0.500  0.54
3 Ir 0.000 0.500 0.000  0.54
4 Ir 0.500 0.000 0.000  0.54
5 Ni 0.500 0.500 0.500  1.23

Values from the calculation:
ρ, g cm⁻³: 11.41
Calculated total energy, eV/atom: -44.896
Space-group type: No. 221
Distance to the lowest polymorph of the same formula, meV per atom: 2112
Calculated volume, Å³/cell: 98.27

Record 2
## CaNiIr4 (SCAN)

Data for a crystal of CaNiIr4 relaxed with PBEsol.

a b c (Å): 5.170 5.170 5.170
angles (deg): 60.00 60.00 60.00
Site moments in Bohr magnetons follow the coordinates.
Element x y z (fractional)
1 Ca 0.000 0.000 0.000  -0.01
2 Ir 0.874 0.375 0.375  0.27
3 Ni 0.750 0.750 0.750  1.41
4 Ir 0.375 0.375 0.874  0.27
5 Ir 0.375 0.375 0.375  0.27
6 Ir 0.375 0.874 0.375  0.27

Values from the calculation:
ρ, g cm⁻³: 14.74
Calculated total energy, eV/atom: -51.691
Space-group type: No. 216
Calculated volume, Å³/cell: 97.73

Record 3
## CaNiIr3 (SCAN)

Data for a crystal of CaNiIr3 relaxed with PBEsol.

a b c (Å): 4.502 4.502 4.502
angles (deg): 90.00 90.00 90.00
Site moments in Bohr magnetons follow the coordinates.
Element x y z (fractional)
1 Ir 0.000 0.500 0.000  0.93
2 Ca 0.500 0.500 0.500  0.00
3 Ni 0.000 0.000 0.000  1.11
4 Ir 0.000 0.000 0.500  0.93
5 Ir 0.500 0.000 0.000  0.93

Values from the calculation:
ρ, g cm⁻³: 12.29
Calculated total energy, eV/atom: -47.008
Space-group type: No. 221
Distance to the lowest polymorph of the same formula, meV per atom: 0
Calculated volume, Å³/cell: 91.25

Record 4
## CaNi2Ir (SCAN)

Data for a crystal of CaNi2Ir relaxed with PBEsol.

a b c (Å): 2.779 2.779 8.701
angles (deg): 80.81 80.81 60.00
Site moments in Bohr magnetons follow the coordinates.
Element x y z (fractional)
1 Ni 0.741 0.741 0.778  0.45
2 Ir 0.259 0.259 0.222  0.30
3 Ni 0.003 0.003 0.991  0.97
4 Ca 0.497 0.497 0.509  -0.08

Values from the calculation:
ρ, g cm⁻³: 10.15
Calculated total energy, eV/atom: -27.819
Space-group type: No. 160
Calculated volume, Å³/cell: 57.20

Record 5
## Ca15NiIr4O24 (SCAN)

Data for a crystal of Ca15NiIr4O24 relaxed with PBEsol.

a b c (Å): 6.504 6.504 12.926
angles (deg): 90.58 90.58 91.11
Site moments in Bohr magnetons follow the coordinates.
Element x y z (fractional)
1 O 0.556 0.927 0.476  0.04
2 Ca 0.902 0.098 0.000  0.00
3 Ca 0.387 0.251 0.431  0.00
4 O 0.422 0.702 0.655  0.05
5 O 0.073 0.444 0.524  0.04
6 O 0.573 0.298 0.598  0.06
7 Ca 0.614 0.753 0.320  0.00
8 O 0.448 0.076 0.776  0.04
9 Ca 0.888 0.112 0.500  0.00
10 Ca 0.107 0.884 0.243  0.00
11 O 0.580 0.294 0.097  0.05
12 Ir 0.999 0.500 0.374  0.62
13 O 0.298 0.578 0.345  0.05
14 Ca 0.116 0.893 0.757  0.00
15 Ni 0.316 0.684 0.000  0.12
16 Ca 0.754 0.612 0.065  0.00
17 Ca 0.250 0.390 0.183  0.00
18 O 0.111 0.480 0.020  0.07
19 Ca 0.247 0.753 0.500  0.00
20 Ir 0.999 0.513 0.876  0.62
21 O 0.784 0.933 0.160  0.04
22 O 0.942 0.797 0.410  0.06
23 Ca 0.751 0.245 0.249  0.00
24 O 0.924 0.552 0.224  0.04
25 O 0.797 0.943 0.662  0.07
26 Ca 0.247 0.386 0.680  0.00
27 O 0.921 0.802 0.910  0.07
28 Ca 0.388 0.246 0.935  0.00
29 Ir 0.500 0.001 0.626  0.62
30 O 0.441 0.076 0.273  0.06
31 O 0.520 0.889 0.980  0.07
32 O 0.198 0.079 0.090  0.07
33 O 0.057 0.203 0.338  0.07
34 O 0.702 0.427 0.402  0.06
35 O 0.067 0.216 0.840  0.04
36 Ca 0.749 0.613 0.569  0.00
37 Ca 0.610 0.750 0.817  0.00
38 O 0.293 0.607 0.860  0.05
39 O 0.393 0.707 0.140  0.05
40 O 0.924 0.559 0.727  0.06
41 Ir 0.487 0.001 0.124  0.62
42 O 0.203 0.058 0.590  0.06
43 O 0.706 0.420 0.903  0.05
44 Ca 0.755 0.249 0.751  0.00

Values from the calculation:
ρ, g cm⁻³: 5.51
Formation energy (no corrections), meV per atom: -2508
Calculated total energy, eV/atom: -16.032
Space-group type: No. 5
Distance to the lowest polymorph of the same formula, meV per atom: 5
Calculated volume, Å³/cell: 546.66

Record 6
## Ca15NiIr4O24 (SCAN)

Data for a crystal of Ca15NiIr4O24 relaxed with PBEsol.

a b c (Å): 6.481 9.114 9.204
angles (deg): 90.00 90.00 90.92
Site moments in Bohr magnetons follow the coordinates.
Element x y z (fractional)
1 Ca 0.365 0.321 0.320  0.00
2 Ir 0.750 0.249 0.501  0.54
3 Ni 0.000 0.000 0.004  1.55
4 O 0.547 0.260 0.063  -0.06
5 O 0.320 0.372 0.824  -0.05
6 O 0.546 0.758 0.568  0.04
7 Ca 0.133 0.177 0.684  0.00
8 O 0.193 0.937 0.611  0.06
9 O 0.807 0.063 0.611  0.06
10 O 0.836 0.884 0.161  0.00
11 O 0.706 0.940 0.893  0.00
12 O 0.809 0.566 0.111  -0.04
13 O 0.680 0.628 0.824  -0.05
14 Ca 0.867 0.823 0.684  0.00
15 O 0.168 0.634 0.681  0.01
16 O 0.045 0.782 0.941  -0.02
17 O 0.164 0.116 0.161  0.00
18 O 0.953 0.743 0.428  0.04
19 Ca 0.500 0.000 0.500  0.00
20 Ca 0.645 0.178 0.821  0.00
21 O 0.308 0.564 0.390  0.06
22 Ca 0.500 0.000 0.133  0.00
23 O 0.330 0.869 0.323  0.01
24 O 0.955 0.218 0.941  -0.02
25 O 0.047 0.257 0.428  0.04
26 Ir 0.752 0.753 0.999  -0.64
27 O 0.692 0.436 0.390  0.06
28 Ca 0.500 0.500 0.001  0.00
29 O 0.454 0.242 0.568  0.04
30 O 0.191 0.434 0.111  -0.04
31 Ir 0.250 0.751 0.501  0.54
32 O 0.294 0.060 0.893  0.00
33 Ca 0.635 0.679 0.320  0.00
34 O 0.832 0.366 0.681  0.01
35 Ca 0.000 0.500 0.864  0.00
36 Ca 0.500 0.500 0.640  0.00
37 O 0.453 0.740 0.063  -0.06
38 O 0.670 0.131 0.323  0.01
39 Ca 0.138 0.688 0.181  0.00
40 Ca 0.000 0.500 0.500  0.00
41 Ir 0.248 0.247 0.999  -0.64
42 Ca 0.862 0.312 0.181  0.00
43 Ca 0.000 0.000 0.356  0.00
44 Ca 0.355 0.822 0.821  0.00

Values from the calculation:
ρ, g cm⁻³: 5.54
Formation energy (no corrections), meV per atom: -2513
Calculated total energy, eV/atom: -16.037
Space-group type: No. 3
Distance to the lowest polymorph of the same formula, meV per atom: 0
Calculated volume, Å³/cell: 543.62

Record 7
## Ca7NiIr2O12 (SCAN)

Data for a crystal of Ca7NiIr2O12 relaxed with PBEsol.

a b c (Å): 6.447 6.447 6.447
angles (deg): 90.50 90.50 90.50
Site moments in Bohr magnetons follow the coordinates.
Element x y z (fractional)
1 O 0.193 0.547 0.326  -0.06
2 O 0.326 0.193 0.547  -0.06
3 Ca 0.865 0.500 0.135  0.00
4 O 0.045 0.710 0.839  -0.01
5 O 0.161 0.290 0.955  -0.01
6 O 0.453 0.807 0.674  -0.06
7 Ir 0.249 0.249 0.249  -0.57
8 Ca 0.135 0.865 0.500  0.00
9 O 0.547 0.326 0.193  -0.06
10 Ca 0.500 0.135 0.865  0.00
11 O 0.807 0.674 0.453  -0.06
12 Ni 0.000 0.000 0.000  1.57
13 Ca 0.500 0.500 0.500  0.00
14 O 0.955 0.161 0.290  -0.01
15 O 0.839 0.045 0.710  -0.01
16 Ca 0.357 0.643 0.000  0.01
17 Ca 0.643 0.000 0.357  0.01
18 O 0.290 0.955 0.161  -0.01
19 O 0.674 0.453 0.807  -0.06
20 Ir 0.751 0.751 0.751  -0.57
21 O 0.710 0.839 0.045  -0.01
22 Ca 0.000 0.357 0.643  0.01

Values from the calculation:
ρ, g cm⁻³: 5.68
Formation energy (no corrections), meV per atom: -2409
Calculated total energy, eV/atom: -16.081
Space-group type: No. 155
Calculated volume, Å³/cell: 267.93

Record 8
## SrCa3IrO6 (SCAN)

Data for a crystal of SrCa3IrO6 relaxed with PBEsol.

a b c (Å): 6.594 6.594 6.621
angles (deg): 90.66 90.66 91.86
Site moments in Bohr magnetons follow the coordinates.
Element x y z (fractional)
1 O 0.791 0.072 0.203  0.07
2 Ir 0.002 0.503 0.747  0.66
3 Ca 0.609 0.391 0.000  0.00
4 Ca 0.249 0.751 0.000  0.00
5 O 0.204 0.918 0.308  0.08
6 O 0.421 0.061 0.960  0.04
7 Ir 0.497 0.998 0.253  0.66
8 O 0.708 0.550 0.670  0.05
9 Ca 0.252 0.109 0.638  0.00
10 O 0.058 0.434 0.457  0.04
11 Sr 0.748 0.884 0.865  0.00
12 O 0.566 0.942 0.543  0.04
13 O 0.549 0.703 0.179  0.04
14 O 0.082 0.796 0.692  0.08
15 Ca 0.751 0.249 0.500  0.00
16 Sr 0.116 0.252 0.135  0.00
17 O 0.297 0.451 0.821  0.04
18 Ca 0.891 0.748 0.362  0.00
19 O 0.450 0.292 0.330  0.05
20 Ca 0.391 0.609 0.500  0.00
21 O 0.928 0.209 0.797  0.07
22 O 0.939 0.579 0.040  0.04

Values from the calculation:
ρ, g cm⁻³: 5.73
Formation energy (no corrections), meV per atom: -2596
Calculated total energy, eV/atom: -17.119
Space-group type: No. 5
Calculated volume, Å³/cell: 287.67

Record 9
## Sr2Ca2IrO6 (SCAN)

Data for a crystal of Sr2Ca2IrO6 relaxed with PBEsol.

a b c (Å): 6.658 6.698 6.698
angles (deg): 90.93 91.38 91.38
Site moments in Bohr magnetons follow the coordinates.
Element x y z (fractional)
1 O 0.827 0.943 0.789  0.05
2 Ir 0.253 0.498 0.997  0.67
3 Sr 0.136 0.748 0.614  0.00
4 O 0.959 0.550 0.915  0.07
5 O 0.041 0.085 0.450  0.07
6 Ca 0.359 0.250 0.393  0.00
7 O 0.665 0.056 0.215  0.05
8 Ca 0.500 0.750 0.250  0.00
9 Ca 0.641 0.607 0.750  0.00
10 O 0.307 0.419 0.707  0.03
11 O 0.797 0.712 0.428  0.03
12 O 0.173 0.211 0.057  0.05
13 O 0.693 0.293 0.581  0.03
14 Sr 0.000 0.884 0.116  0.00
15 Sr 0.864 0.386 0.252  0.00
16 Sr 0.500 0.114 0.886  0.00
17 Ir 0.747 0.003 0.502  0.67
18 O 0.203 0.572 0.288  0.03
19 Ca 0.000 0.249 0.751  0.00
20 O 0.335 0.785 0.944  0.05
21 O 0.457 0.929 0.546  0.07
22 O 0.543 0.454 0.071  0.07

Values from the calculation:
ρ, g cm⁻³: 6.05
Formation energy (no corrections), meV per atom: -2590
Calculated total energy, eV/atom: -18.259
Space-group type: No. 5
Calculated volume, Å³/cell: 298.46

Record 10
## Ca2TiIrO6 (SCAN)

Data for a crystal of Ca2TiIrO6 relaxed with PBEsol.

a b c (Å): 5.351 5.493 7.642
angles (deg): 90.00 90.18 90.00
Site moments in Bohr magnetons follow the coordinates.
Element x y z (fractional)
1 O 0.295 0.297 0.957  0.08
2 Ca 0.488 0.551 0.751  0.00
3 Ti 0.000 0.500 0.000  -0.04
4 O 0.705 0.703 0.043  0.08
5 O 0.799 0.210 0.045  0.05
6 Ca 0.512 0.449 0.249  0.00
7 O 0.299 0.290 0.545  0.05
8 O 0.201 0.790 0.955  0.05
9 O 0.916 0.478 0.753  0.07
10 O 0.584 0.978 0.747  0.07
11 Ca 0.988 0.949 0.251  0.00
12 O 0.795 0.203 0.457  0.08
13 O 0.701 0.710 0.455  0.05
14 Ti 0.500 0.000 0.500  -0.04
15 Ir 0.000 0.500 0.500  0.62
16 O 0.416 0.022 0.253  0.07
17 O 0.084 0.522 0.247  0.07
18 Ca 0.012 0.051 0.749  0.00
19 O 0.205 0.797 0.543  0.08
20 Ir 0.500 0.000 0.000  0.62

Values from the calculation:
ρ, g cm⁻³: 6.15
Formation energy (no corrections), meV per atom: -2657
Calculated total energy, eV/atom: -17.042
Space-group type: No. 14
Calculated volume, Å³/cell: 224.63

Record 11
## Ca3IrOs (SCAN)

Data for a crystal of Ca3IrOs relaxed with PBEsol.

a b c (Å): 5.212 5.212 5.212
angles (deg): 90.00 90.00 90.00
Site moments in Bohr magnetons follow the coordinates.
Element x y z (fractional)
1 Ca 0.000 0.500 0.000  -0.04
2 Ca 0.000 0.000 0.500  -0.04
3 Ir 0.000 0.000 0.000  0.01
4 Ca 0.500 0.000 0.000  -0.04
5 Os 0.500 0.500 0.500  1.55

Values from the calculation:
ρ, g cm⁻³: 5.90
Calculated total energy, eV/atom: -33.578
Space-group type: No. 221
Calculated volume, Å³/cell: 141.55

Record 12
## CaPIr2 (SCAN)

Data for a crystal of CaPIr2 relaxed with PBEsol.

a b c (Å): 4.492 4.492 4.492
angles (deg): 60.00 60.00 60.00
Site moments in Bohr magnetons follow the coordinates.
Element x y z (fractional)
1 Ca 0.500 0.500 0.500  0.07
2 Ir 0.750 0.750 0.750  0.51
3 P 0.250 0.250 0.250  -0.02
4 Ir 0.000 0.000 0.000  0.54

Values from the calculation:
ρ, g cm⁻³: 11.80
Calculated total energy, eV/atom: -40.250
Space-group type: No. 216
Calculated volume, Å³/cell: 64.09

Record 13
## Ca5P12Ir19 (SCAN)

Data for a crystal of Ca5P12Ir19 relaxed with PBEsol.

a b c (Å): 3.940 12.560 12.560
angles (deg): 120.00 90.00 90.00
Element x y z (fractional)
1 Ca 0.500 0.183 0.000
2 Ir 0.500 0.638 0.509
3 Ir 0.000 0.181 0.802
4 P 0.500 0.827 0.515
5 Ir 0.500 0.362 0.870
6 Ca 0.500 0.817 0.817
7 Ir 0.000 0.460 0.460
8 Ir 0.500 0.491 0.130
9 P 0.000 0.000 0.820
10 Ca 0.000 0.667 0.333
11 P 0.000 0.820 0.000
12 Ir 0.000 0.819 0.622
13 P 0.000 0.358 0.000
14 P 0.000 0.642 0.642
15 P 0.500 0.688 0.173
16 Ir 0.000 0.000 0.540
17 Ir 0.000 0.622 0.819
18 Ir 0.500 0.130 0.491
19 Ir 0.000 0.198 0.378
20 P 0.500 0.485 0.312
21 Ir 0.000 0.540 0.000
22 Ir 0.500 0.000 0.713
23 P 0.500 0.312 0.485
24 Ir 0.500 0.287 0.287
25 Ir 0.500 0.870 0.362
26 Ca 0.000 0.333 0.667
27 Ir 0.000 0.000 0.000
28 P 0.500 0.515 0.827
29 P 0.000 0.180 0.180
30 Ir 0.500 0.713 0.000
31 Ir 0.500 0.509 0.638
32 P 0.000 0.000 0.358
33 P 0.500 0.173 0.688
34 Ir 0.000 0.378 0.198
35 Ca 0.500 0.000 0.183
36 Ir 0.000 0.802 0.181

Values from the calculation:
ρ, g cm⁻³: 13.03
Calculated total energy, eV/atom: -43.135
Space-group type: No. 189
Calculated volume, Å³/cell: 538.28

Record 14
## CaPIr2 (SCAN)

Data for a crystal of CaPIr2 relaxed with PBEsol.

a b c (Å): 4.056 4.056 4.699
angles (deg): 115.57 115.57 90.00
Element x y z (fractional)
1 Ir 0.250 0.750 0.500
2 Ca 0.000 0.000 0.000
3 Ir 0.750 0.250 0.500
4 P 0.500 0.500 0.000

Values from the calculation:
ρ, g cm⁻³: 12.35
Calculated total energy, eV/atom: -40.485
Space-group type: No. 139
Calculated volume, Å³/cell: 61.24

Record 15
## CaP2Ir (SCAN)

Data for a crystal of CaP2Ir relaxed with PBEsol.

a b c (Å): 3.280 3.280 6.322
angles (deg): 90.00 90.00 90.00
Element x y z (fractional)
1 Ir 0.500 0.500 0.840
2 Ca 0.000 0.000 0.480
3 P 0.000 0.000 0.966
4 P 0.500 0.500 0.214

Values from the calculation:
ρ, g cm⁻³: 7.18
Calculated total energy, eV/atom: -25.630
Space-group type: No. 99
Calculated volume, Å³/cell: 68.02

Record 16
## Ca4P7Ir8 (SCAN)

Data for a crystal of Ca4P7Ir8 relaxed with PBEsol.

a b c (Å): 3.934 12.502 13.024
angles (deg): 98.84 90.00 90.00
Element x y z (fractional)
1 Ir 0.250 0.423 0.472
2 P 0.250 0.610 0.438
3 Ir 0.250 0.061 0.726
4 Ir 0.750 0.272 0.396
5 P 0.750 0.092 0.413
6 Ca 0.250 0.103 0.208
7 Ca 0.250 0.214 0.565
8 P 0.250 0.057 0.900
9 Ir 0.750 0.661 0.859
10 Ir 0.750 0.577 0.528
11 Ca 0.750 0.786 0.435
12 Ca 0.250 0.284 0.894
13 Ca 0.750 0.716 0.106
14 Ca 0.250 0.515 0.708
15 Ir 0.250 0.917 0.002
16 Ca 0.750 0.897 0.792
17 Ca 0.750 0.485 0.292
18 Ir 0.750 0.939 0.274
19 Ir 0.750 0.337 0.727
20 P 0.750 0.691 0.689
21 P 0.250 0.742 0.921
22 Ir 0.250 0.663 0.273
23 P 0.250 0.309 0.311
24 Ir 0.750 0.015 0.575
25 P 0.750 0.155 0.720
26 P 0.250 0.529 0.128
27 P 0.750 0.258 0.079
28 Ir 0.250 0.728 0.604
29 P 0.250 0.908 0.587
30 Ir 0.250 0.554 0.952
31 P 0.750 0.390 0.562
32 Ir 0.750 0.083 0.998
33 P 0.250 0.845 0.280
34 P 0.750 0.943 0.100
35 Ir 0.250 0.339 0.141
36 Ir 0.750 0.446 0.048
37 P 0.750 0.471 0.872
38 Ir 0.250 0.985 0.425

Values from the calculation:
ρ, g cm⁻³: 10.05
Calculated total energy, eV/atom: -36.810
Space-group type: No. 11
Calculated volume, Å³/cell: 632.91

Record 17
## CaP2IrS (SCAN)

Data for a crystal of CaP2IrS relaxed with PBEsol.

a b c (Å): 4.455 4.455 5.309
angles (deg): 90.00 90.00 90.00
Element x y z (fractional)
1 Ir 0.000 0.000 0.000
2 Ca 0.500 0.500 0.500
3 P 0.000 0.500 0.000
4 P 0.500 0.000 0.000
5 S 0.000 0.000 0.500

Values from the calculation:
ρ, g cm⁻³: 5.14
Formation energy (no corrections), meV per atom: -239
Calculated total energy, eV/atom: -22.476
Space-group type: No. 123
Calculated volume, Å³/cell: 105.35